DFT (PBE) results for InSbAs2 after structural relaxation.

distance to the lowest polymorph of the same formula	0.0767	eV per atom
Fermi-level density of states	0.37	states/eV/atom
space-group type	No. 160
DFT total energy	-15.98	eV/cell

The structure in POSCAR format:
```
InSbAs2
1.0
-1.631 -1.577 3.289
-2.973 -2.650 -0.318
3.234 -6.734 0.802
Sb As In
1 2 1
Cartesian
0.139 -9.524 2.783 Sb
-0.372 -2.708 0.944 As
2.093 -5.461 0.847 As
-0.681 -5.485 1.886 In
```


DFT (PBE) results for InSbAs2 after structural relaxation.

distance to the lowest polymorph of the same formula	0.1165	eV per atom
Fermi-level density of states	0.35	states/eV/atom
space-group type	No. 10
DFT total energy	-15.82	eV/cell

The structure in POSCAR format:
```
InSbAs2
1.0
4.096 0.000 0.000
0.000 2.893 0.223
0.000 2.595 8.550
As Sb In
2 1 1
Cartesian
0.000 1.386 4.319 As
0.000 3.954 8.617 As
2.048 4.117 6.579 Sb
2.048 1.372 2.193 In
```


DFT (PBE) results for InSb2As after structural relaxation.

distance to the lowest polymorph of the same formula	0.1417	eV per atom
Fermi-level density of states	0.39	states/eV/atom
space-group type	No. 12
DFT total energy	-14.94	eV/cell

The structure in POSCAR format:
```
InSb2As
1.0
5.352 -0.007 -0.015
3.861 3.706 -0.015
1.842 0.739 5.424
In Sb As
1 2 1
Cartesian
2.764 1.110 1.349 In
5.454 2.190 2.988 Sb
1.915 0.769 5.134 Sb
8.291 3.329 4.046 As
```


DFT (PBE) results for InSbAsSe after structural relaxation.

Fermi-level density of states	0.51	states/eV/atom
space-group type	No. 8
DFT total energy	-15.50	eV/cell

The structure in POSCAR format:
```
InSbAsSe
1.0
4.026 -0.001 0.018
-2.010 3.489 -0.018
-1.946 -1.202 9.289
As Se Sb In
1 1 1 1
Cartesian
0.499 -0.288 4.934 As
0.495 2.041 0.759 Se
-1.518 0.878 6.406 Sb
-1.524 3.208 2.095 In
```


DFT (PBE) results for InSnSbAs after structural relaxation.

Fermi-level density of states	0.28	states/eV/atom
space-group type	No. 8
DFT total energy	-15.62	eV/cell

The structure in POSCAR format:
```
InSnSbAs
1.0
4.657 0.105 -0.042
-2.233 4.088 0.042
-2.393 -1.414 7.072
As Sn In Sb
1 1 1 1
Cartesian
-1.715 3.789 1.285 As
0.648 2.423 0.728 Sn
0.507 -0.293 3.943 In
-1.826 1.056 4.901 Sb
```


DFT (PBE) results for Sr2In2SbAs2 after structural relaxation.

Fermi-level density of states	0.36	states/eV/atom
space-group type	No. 12
DFT total energy	-26.14	eV/cell

The structure in POSCAR format:
```
Sr2In2SbAs2
1.0
4.205 0.000 0.000
2.100 6.826 0.970
0.000 2.747 8.485
In Sb As Sr
2 1 2 2
Cartesian
2.102 4.810 3.218 In
4.202 4.763 6.237 In
0.000 0.000 0.000 Sb
2.100 6.497 5.658 As
4.204 3.076 3.796 As
2.102 1.061 2.339 Sr
4.202 8.512 7.115 Sr
```


DFT (PBE) results for SrIn2SbAs after structural relaxation.

Fermi-level density of states	0.78	states/eV/atom
space-group type	No. 123
DFT total energy	-15.97	eV/cell

The structure in POSCAR format:
```
SrIn2SbAs
1.0
-4.072 -3.283 0.877
3.785 -4.665 0.113
0.619 0.629 5.230
In Sr Sb As
2 1 1 1
Cartesian
0.310 0.315 2.615 In
-2.036 -1.641 0.439 In
0.166 -3.659 3.110 Sr
1.893 -2.332 0.057 Sb
0.000 0.000 0.000 As
```


DFT (PBE) results for Sr2In2Sb2As after structural relaxation.

Fermi-level density of states	0.23	states/eV/atom
space-group type	No. 12
DFT total energy	-25.72	eV/cell

The structure in POSCAR format:
```
Sr2In2Sb2As
1.0
-2.321 -3.494 0.717
4.160 -5.429 -0.360
4.158 -1.248 7.376
Sr In Sb As
2 2 2 1
Cartesian
3.950 -7.399 1.989 Sr
2.047 -2.771 5.743 Sr
2.251 -3.915 0.827 In
3.746 -6.255 6.906 In
1.529 -5.493 3.407 Sb
4.468 -4.677 4.325 Sb
0.000 0.000 0.000 As
```


DFT (PBE) results for InTc2SbAs after structural relaxation.

Fermi-level density of states	1.18	states/eV/atom
space-group type	No. 123
DFT total energy	-27.16	eV/cell

The structure in POSCAR format:
```
InTc2SbAs
1.0
4.726 0.000 0.000
0.000 4.726 0.000
0.000 0.000 5.175
Tc Sb In As
2 1 1 1
Cartesian
2.363 0.000 0.000 Tc
0.000 2.363 0.000 Tc
2.363 2.363 2.587 Sb
0.000 0.000 2.587 In
0.000 0.000 0.000 As
```


DFT (PBE) results for In2SbTeAs after structural relaxation.

Fermi-level density of states	0.56	states/eV/atom
space-group type	No. 123
DFT total energy	-15.14	eV/cell

The structure in POSCAR format:
```
In2SbTeAs
1.0
5.809 0.000 0.000
0.000 5.230 0.000
0.000 0.000 5.809
As In Sb Te
1 2 1 1
Cartesian
0.000 2.615 0.000 As
2.904 0.000 0.000 In
0.000 0.000 2.904 In
0.000 0.000 0.000 Sb
2.904 2.615 2.904 Te
```


Number 1: uncorrected formation energy 0.18 eV per formula unit, mass density 6.5 g/cm3. Number 2: uncorrected formation energy 0.34 eV per formula unit, mass density 6.5 g/cm3. Number 3: uncorrected formation energy 0.69 eV per formula unit, mass density 6.7 g/cm3. Number 4: uncorrected formation energy -0.50 eV per formula unit, mass density 5.0 g/cm3. Number 5: uncorrected formation energy -0.11 eV per formula unit, mass density 5.3 g/cm3. Number 6: uncorrected formation energy -3.88 eV per formula unit, mass density 4.8 g/cm3. Number 7: uncorrected formation energy -0.04 eV per formula unit, mass density 5.0 g/cm3. Number 8: uncorrected formation energy -3.98 eV per formula unit, mass density 5.5 g/cm3. Number 9: uncorrected formation energy 5.09 eV per formula unit, mass density 7.3 g/cm3. Number 10: uncorrected formation energy 2.25 eV per formula unit, mass density 5.2 g/cm3.